# Ti3Zn2Ni

Ti3Zn2Ni after structural relaxation (PBE-GGA, the Alexandria database).

- E: -5.562 eV/atom
- Space group: P4/mmm, No. 123
- V: 89.7 Å³/f.u.
- Total moment: 0.5 μB per formula unit
- DFT formation energy: -226 meV/atom
- Density: 6.17 g/cm³

a = 3.093 Å, b = 3.093 Å, c = 9.373 Å
α = 90.00°, β = 90.00°, γ = 90.00°
Site moments in Bohr magnetons follow the coordinates.
Atoms (fractional coordinates):
1 Zn 0.500 0.500 0.827  0.00
2 Zn 0.500 0.500 0.173  0.00
3 Ti 0.000 0.000 0.346  0.23
4 Ti 0.000 0.000 0.000  -0.13
5 Ti 0.000 0.000 0.654  0.23
6 Ni 0.500 0.500 0.500  0.13

---

# SrLa2PtO6

SrLa2PtO6 after structural relaxation (PBE-GGA, the Alexandria database).

- E: -7.179 eV/atom
- Space group: P2_1/c, No. 14
- V: 150.1 Å³/f.u.
- Total moment: 0.0 μB per formula unit
- Formation energy (no corrections): -2.446 eV per atom
- Density: 7.26 g/cm³

a = 5.773 Å, b = 6.181 Å, c = 8.411 Å
α = 90.00°, β = 90.15°, γ = 90.00°
Atoms (fractional coordinates):
1 O 0.296 0.671 0.049
2 O 0.665 0.277 0.583
3 O 0.335 0.723 0.417
4 O 0.704 0.329 0.951
5 O 0.796 0.829 0.549
6 O 0.835 0.777 0.917
7 O 0.129 0.427 0.777
8 O 0.371 0.927 0.723
9 O 0.871 0.573 0.223
10 O 0.629 0.073 0.277
11 O 0.165 0.223 0.083
12 O 0.204 0.171 0.451
13 Sr 0.000 0.500 0.500
14 Sr 0.500 0.000 0.000
15 La 0.981 0.055 0.740
16 La 0.019 0.945 0.260
17 La 0.481 0.445 0.240
18 La 0.519 0.555 0.760
19 Pt 0.500 0.000 0.500
20 Pt 0.000 0.500 0.000

---

# LaSmNi

LaSmNi after structural relaxation (PBE-GGA, the Alexandria database).

- E: -5.301 eV/atom
- Space group: P2_1/c, No. 14
- Polymorph energy (0 for the lowest one): 0 meV per atom
- V: 84.2 Å³/f.u.
- Total moment: 0.0 μB per formula unit
- DFT formation energy: -158 meV/atom
- Density: 6.86 g/cm³

a = 6.962 Å, b = 7.382 Å, c = 7.123 Å
α = 66.88°, β = 90.00°, γ = 90.00°
Atoms (fractional coordinates):
1 Ni 0.454 0.450 0.204
2 Ni 0.546 0.550 0.796
3 Ni 0.954 0.550 0.296
4 Ni 0.046 0.450 0.704
5 La 0.314 0.697 0.424
6 La 0.814 0.303 0.076
7 La 0.686 0.303 0.576
8 La 0.186 0.697 0.924
9 Sm 0.182 0.200 0.508
10 Sm 0.818 0.800 0.492
11 Sm 0.682 0.800 0.992
12 Sm 0.318 0.200 0.008